1.
Compound: Nd2Cd7
Source: Alexandria via LeMat-Bulk
Functional: GGA-PBE
Structure: relaxed

abc: 5.9878 5.9878 43.2148
angles: 90.00 90.00 120.00
Space group R-3m (No. 166, hexagonal axes)
Inequivalent atoms, fractional coordinates:
1 Nd 0.0000 0.0000 0.0513 (multiplicity 6)
2 Nd 0.0000 0.0000 0.1499 (multiplicity 6)
3 Cd 0.0000 0.0000 0.2778 (multiplicity 6)
4 Cd 0.0000 0.0000 0.3900 (multiplicity 6)
5 Cd 0.0000 0.0000 0.5000 (multiplicity 3)
6 Cd 0.0000 0.5000 0.0000 (multiplicity 9)
7 Cd 0.0061 0.5030 0.8881 (multiplicity 18)

Calculated values
E = -107.70 eV/cell
Crystal system = trigonal

---

2.
Compound: Y5InCo2
Source: Alexandria via LeMat-Bulk
Functional: GGA-PBE
Structure: relaxed

abc: 7.6401 7.6401 13.5893
angles: 90.00 90.00 90.00
Space group I4/mcm (No. 140)
Inequivalent atoms, fractional coordinates:
1 Y 0.0000 0.0000 0.0000 (multiplicity 4)
2 Y 0.1618 0.3382 0.1317 (multiplicity 16)
3 In 0.0000 0.0000 0.2500 (multiplicity 4)
4 Co 0.1316 0.3684 0.5000 (multiplicity 8)

Calculated values
E = -205.17 eV/cell
Crystal system = tetragonal

---

3.
Compound: ZrRuI2
Source: Alexandria via LeMat-Bulk
Functional: GGA-PBE
Structure: relaxed

abc: 6.3952 6.3952 11.7359
angles: 90.00 90.00 90.00
Space group I-42d (No. 122)
Inequivalent atoms, fractional coordinates:
1 Zr 0.0000 0.0000 0.0000 (multiplicity 4)
2 Ru 0.0000 0.0000 0.5000 (multiplicity 4)
3 I 0.2183 0.2500 0.6250 (multiplicity 8)

Calculated values
Crystal system = tetragonal
ΔE_f (raw) = 0.597 eV per atom

---

| no. | M_tot (μB/atom) |
| --- | --- |
| 1 | 0.0000 |
| 2 | 0.0000 |
| 3 | 0.0255 |